The following is a DFT calculation (PBE) of a relaxed CdSe2NO crystal.

Summary:
As for the raw formation energy: 1098 meV per atom. For the energy above the most stable polymorph in this dataset, the calculation gives 0.000 eV per atom.

Unit cell a=4.458 b=4.458 c=4.250 alpha=90.00 beta=90.00 gamma=90.00
Sites, in units of the cell vectors:
Cd (0.000, 0.000, 0.000)
Se (0.000, 0.500, 0.500)
Se (0.500, 0.000, 0.500)
N (0.500, 0.500, 0.000)
O (0.500, 0.500, 0.500)



The following is a DFT calculation (PBE) of a relaxed Sm6Cd2NO crystal.

Summary:
As for the raw formation energy: -1044 meV per atom.

Unit cell a=6.985 b=6.985 c=6.985 alpha=60.00 beta=60.00 gamma=60.00
Sites, in units of the cell vectors:
Sm (0.248, 0.248, 0.752)
Sm (0.248, 0.752, 0.248)
Sm (0.248, 0.752, 0.752)
Sm (0.752, 0.248, 0.248)
Sm (0.752, 0.248, 0.752)
Sm (0.752, 0.752, 0.248)
Cd (0.250, 0.250, 0.250)
Cd (0.750, 0.750, 0.750)
N (0.000, 0.000, 0.000)
O (0.500, 0.500, 0.500)



Number 1: energy -15.68 eV/cell. Number 2: energy -53.87 eV/cell.